## Ac2Pr7Y (PBE)

Data for a geometry-optimized Ac2Pr7Y structure.

a = 15.5535 Å, b = 15.5535 Å, c = 3.6313 Å
α = 90.00°, β = 90.00°, γ = 154.30°
Last column: nearest neighbours and their distance in Å.
Fractional positions:
1 Ac 0.2055 0.7945 0.0000  2 Ac 3.63, 8 Pr 3.77-3.96
2 Ac 0.7945 0.2055 0.0000  2 Ac 3.63, 8 Pr 3.77-3.96
3 Pr 0.0000 0.0000 0.0000  6 Pr 3.41-3.63
4 Pr 0.1618 0.3537 0.0000  7 Pr 3.35-3.64
5 Pr 0.3159 0.6841 0.5000  6 Pr 3.63-3.64, 6 Ac 3.81-3.96
6 Pr 0.3537 0.1618 0.0000  7 Pr 3.35-3.64
7 Pr 0.6463 0.8382 0.0000  7 Pr 3.35-3.64
8 Pr 0.6841 0.3159 0.5000  6 Pr 3.63-3.64, 6 Ac 3.81-3.96
9 Pr 0.8382 0.6463 0.0000  7 Pr 3.35-3.64
10 Y 0.5000 0.5000 0.5000  2 Y 3.63, 12 Pr 3.82-3.91

The calculation puts the formation energy at 0.14 eV/atom. The total magnetic moment comes out at 0.00 μB per cell. The calculated density comes out at 6.67 g/cm³. The uncorrected energy is -46.7 eV/cell. As for the density of states at the Fermi level: 1.6176 states/eV/atom. For the polymorph energy (0 for the lowest one), the calculation gives 1.19 eV per formula unit.